[1]
{
  "formula": "V2CoC",
  "functional": "GGA-PBE",
  "state": "relaxed",
  "lattice_angstrom": [[1.410, 0.814, 6.841], [-1.410, 0.814, 6.841], [0.000, -1.628, 6.841]],
  "species": ["V", "V", "Co", "C"],
  "fractional_positions": [[0.111, 0.111, 0.111], [0.889, 0.889, 0.889], [0.000, 0.000, 0.000], [0.500, 0.500, 0.500]],
  "density_g_cm3": 6.1,
  "delta_e_f_ev_per_fu": 0.3,
  "energy_ev_per_atom": -8.56
}


[2]
{
  "formula": "VZnCo2C",
  "functional": "GGA-PBE",
  "state": "relaxed",
  "lattice_angstrom": [[4.109, 0.000, 0.000], [0.000, 4.109, 0.000], [0.000, 0.000, 4.776]],
  "species": ["V", "Zn", "Co", "Co", "C"],
  "fractional_positions": [[0.000, 0.000, 0.000], [0.000, 0.000, 0.500], [0.000, 0.500, 0.000], [0.500, 0.000, 0.000], [0.500, 0.500, 0.500]],
  "density_g_cm3": 5.1,
  "delta_e_f_ev_per_fu": 11.5,
  "energy_ev_per_atom": -4.47
}


[3]
{
  "formula": "VZnCo2C",
  "functional": "GGA-PBE",
  "state": "relaxed",
  "lattice_angstrom": [[3.742, 0.000, 0.000], [0.000, 3.742, 0.000], [0.000, 0.000, 4.089]],
  "species": ["V", "Zn", "Co", "Co", "C"],
  "fractional_positions": [[0.000, 0.000, 0.000], [0.500, 0.500, 0.000], [0.000, 0.500, 0.500], [0.500, 0.000, 0.500], [0.500, 0.500, 0.500]],
  "density_g_cm3": 7.1,
  "delta_e_f_ev_per_fu": 1.9,
  "energy_ev_per_atom": -6.39
}


[4]
{
  "formula": "VZnCo2C",
  "functional": "GGA-PBE",
  "state": "relaxed",
  "lattice_angstrom": [[3.774, 0.000, 0.000], [0.000, 3.774, 0.000], [0.000, 0.000, 3.977]],
  "species": ["V", "Zn", "Co", "Co", "C"],
  "fractional_positions": [[0.000, 0.000, 0.000], [0.500, 0.500, 0.000], [0.000, 0.500, 0.500], [0.500, 0.000, 0.500], [0.000, 0.000, 0.500]],
  "density_g_cm3": 7.2,
  "delta_e_f_ev_per_fu": -0.1,
  "energy_ev_per_atom": -6.78
}


[5]
{
  "formula": "CoW3C",
  "functional": "GGA-PBE",
  "state": "relaxed",
  "lattice_angstrom": [[4.096, 0.000, 0.000], [0.000, 4.096, 0.000], [0.000, 0.000, 4.096]],
  "species": ["Co", "W", "W", "W", "C"],
  "fractional_positions": [[0.000, 0.000, 0.000], [0.000, 0.500, 0.500], [0.500, 0.000, 0.500], [0.500, 0.500, 0.000], [0.500, 0.500, 0.500]],
  "density_g_cm3": 15.0,
  "delta_e_f_ev_per_fu": 1.7,
  "energy_ev_per_atom": -10.70
}


[6]
{
  "formula": "CoW2C",
  "functional": "GGA-PBE",
  "state": "relaxed",
  "lattice_angstrom": [[-2.465, 2.465, 5.080], [2.465, -2.465, 5.080], [2.465, 2.465, -5.080]],
  "species": ["Co", "Co", "W", "W", "W", "W", "C", "C"],
  "fractional_positions": [[0.000, 0.000, 0.000], [0.750, 0.250, 0.500], [0.176, 0.625, 0.051], [0.375, 0.426, 0.551], [0.574, 0.125, 0.949], [0.875, 0.824, 0.449], [0.250, 0.750, 0.500], [0.500, 0.500, 0.000]],
  "density_g_cm3": 11.8,
  "delta_e_f_ev_per_fu": 3.5,
  "energy_ev_per_atom": -9.68
}


[7]
{
  "formula": "Co2W4C",
  "functional": "GGA-PBE",
  "state": "relaxed",
  "lattice_angstrom": [[0.000, 5.660, 5.660], [5.660, 0.000, 5.660], [5.660, 5.660, 0.000]],
  "species": ["Co", "Co", "Co", "Co", "Co", "Co", "Co", "Co", "W", "W", "W", "W", "W", "W", "W", "W", "W", "W", "W", "W", "W", "W", "W", "W", "C", "C", "C", "C"],
  "fractional_positions": [[0.119, 0.794, 0.794], [0.206, 0.206, 0.206], [0.206, 0.206, 0.881], [0.206, 0.881, 0.206], [0.794, 0.119, 0.794], [0.794, 0.794, 0.119], [0.794, 0.794, 0.794], [0.881, 0.206, 0.206], [0.000, 0.000, 0.000], [0.000, 0.000, 0.500], [0.000, 0.500, 0.000], [0.187, 0.187, 0.563], [0.187, 0.563, 0.187], [0.187, 0.563, 0.563], [0.437, 0.437, 0.813], [0.437, 0.813, 0.437], [0.437, 0.813, 0.813], [0.500, 0.000, 0.000], [0.563, 0.187, 0.187], [0.563, 0.187, 0.563], [0.563, 0.563, 0.187], [0.813, 0.437, 0.437], [0.813, 0.437, 0.813], [0.813, 0.813, 0.437], [0.000, 0.500, 0.500], [0.500, 0.000, 0.500], [0.500, 0.500, 0.000], [0.500, 0.500, 0.500]],
  "density_g_cm3": 15.8,
  "delta_e_f_ev_per_fu": -0.5,
  "energy_ev_per_atom": -10.82
}


[8]
{
  "formula": "Co6W20C7",
  "functional": "GGA-PBE",
  "state": "relaxed",
  "lattice_angstrom": [[7.885, 0.000, 0.000], [-3.942, 6.828, 0.000], [0.000, 0.000, 7.882]],
  "species": ["Co", "Co", "Co", "Co", "Co", "Co", "W", "W", "W", "W", "W", "W", "W", "W", "W", "W", "W", "W", "W", "W", "W", "W", "W", "W", "W", "W", "C", "C", "C", "C", "C", "C", "C"],
  "fractional_positions": [[0.111, 0.223, 0.000], [0.111, 0.889, 0.000], [0.223, 0.112, 0.500], [0.777, 0.889, 0.000], [0.888, 0.112, 0.500], [0.888, 0.777, 0.500], [0.000, 0.000, 0.251], [0.000, 0.000, 0.749], [0.106, 0.553, 0.000], [0.199, 0.399, 0.321], [0.199, 0.399, 0.679], [0.199, 0.801, 0.321], [0.199, 0.801, 0.679], [0.409, 0.204, 0.179], [0.409, 0.204, 0.821], [0.447, 0.553, 0.000], [0.447, 0.894, 0.000], [0.549, 0.097, 0.500], [0.549, 0.451, 0.500], [0.601, 0.801, 0.321], [0.601, 0.801, 0.679], [0.796, 0.204, 0.179], [0.796, 0.204, 0.821], [0.796, 0.591, 0.179], [0.796, 0.591, 0.821], [0.903, 0.451, 0.500], [0.005, 0.503, 0.250], [0.005, 0.503, 0.750], [0.497, 0.503, 0.250], [0.497, 0.503, 0.750], [0.497, 0.995, 0.250], [0.497, 0.995, 0.750], [0.667, 0.333, 0.000]],
  "density_g_cm3": 16.1,
  "delta_e_f_ev_per_fu": -1.9,
  "energy_ev_per_atom": -11.16
}


[9]
{
  "formula": "CoW2C",
  "functional": "GGA-PBE",
  "state": "relaxed",
  "lattice_angstrom": [[1.431, 0.826, 7.597], [-1.431, 0.826, 7.597], [0.000, -1.652, 7.597]],
  "species": ["Co", "W", "W", "C"],
  "fractional_positions": [[0.000, 0.000, 0.000], [0.107, 0.107, 0.107], [0.893, 0.893, 0.893], [0.500, 0.500, 0.500]],
  "density_g_cm3": 13.5,
  "delta_e_f_ev_per_fu": 2.8,
  "energy_ev_per_atom": -9.85
}


[10]
{
  "formula": "CoWC",
  "functional": "GGA-PBE",
  "state": "relaxed",
  "lattice_angstrom": [[6.176, 0.000, 0.000], [0.000, 2.867, 0.000], [0.000, 0.000, 6.950]],
  "species": ["Co", "Co", "Co", "Co", "W", "W", "W", "W", "C", "C", "C", "C"],
  "fractional_positions": [[0.172, 0.250, 0.023], [0.328, 0.750, 0.523], [0.672, 0.250, 0.477], [0.828, 0.750, 0.977], [0.015, 0.250, 0.684], [0.485, 0.750, 0.184], [0.515, 0.250, 0.816], [0.985, 0.750, 0.316], [0.238, 0.750, 0.826], [0.262, 0.250, 0.326], [0.738, 0.750, 0.674], [0.762, 0.250, 0.174]],
  "density_g_cm3": 13.8,
  "delta_e_f_ev_per_fu": 0.5,
  "energy_ev_per_atom": -9.61
}


[11]
{
  "formula": "Co3WC",
  "functional": "GGA-PBE",
  "state": "relaxed",
  "lattice_angstrom": [[4.427, 0.000, 0.000], [0.000, 4.427, 0.000], [0.000, 0.000, 4.427]],
  "species": ["Co", "Co", "Co", "W", "C"],
  "fractional_positions": [[0.000, 0.000, 0.500], [0.000, 0.500, 0.000], [0.500, 0.000, 0.000], [0.000, 0.000, 0.000], [0.500, 0.500, 0.500]],
  "density_g_cm3": 7.1,
  "delta_e_f_ev_per_fu": 14.0,
  "energy_ev_per_atom": -5.90
}


[12]
{
  "formula": "Co3WC",
  "functional": "GGA-PBE",
  "state": "relaxed",
  "lattice_angstrom": [[3.796, 0.000, 0.000], [0.000, 3.796, 0.000], [0.000, 0.000, 3.796]],
  "species": ["Co", "Co", "Co", "W", "C"],
  "fractional_positions": [[0.000, 0.000, 0.500], [0.000, 0.500, 0.000], [0.500, 0.000, 0.000], [0.500, 0.500, 0.500], [0.000, 0.000, 0.000]],
  "density_g_cm3": 11.3,
  "delta_e_f_ev_per_fu": 1.8,
  "energy_ev_per_atom": -8.34
}


[13]
{
  "formula": "ZnCoW2C",
  "functional": "GGA-PBE",
  "state": "relaxed",
  "lattice_angstrom": [[4.426, 0.000, 0.000], [0.000, 4.426, 0.000], [0.000, 0.000, 4.292]],
  "species": ["Zn", "Co", "W", "W", "C"],
  "fractional_positions": [[0.000, 0.000, 0.000], [0.000, 0.000, 0.500], [0.000, 0.500, 0.500], [0.500, 0.000, 0.500], [0.500, 0.500, 0.000]],
  "density_g_cm3": 10.0,
  "delta_e_f_ev_per_fu": 11.6,
  "energy_ev_per_atom": -6.38
}


[14]
{
  "formula": "YCo2C2",
  "functional": "GGA-PBE",
  "state": "relaxed",
  "lattice_angstrom": [[-1.672, 1.672, 5.033], [1.672, -1.672, 5.033], [1.672, 1.672, -5.033]],
  "species": ["Y", "Co", "Co", "C", "C"],
  "fractional_positions": [[0.000, 0.000, 0.000], [0.250, 0.750, 0.500], [0.750, 0.250, 0.500], [0.351, 0.351, 0.000], [0.649, 0.649, 0.000]],
  "density_g_cm3": 6.8,
  "delta_e_f_ev_per_fu": -0.7,
  "energy_ev_per_atom": -7.96
}


[15]
{
  "formula": "YCoC3",
  "functional": "GGA-PBE",
  "state": "relaxed",
  "lattice_angstrom": [[3.833, 0.000, 0.000], [0.000, 3.833, 0.000], [0.000, 0.000, 3.833]],
  "species": ["Y", "Co", "C", "C", "C"],
  "fractional_positions": [[0.000, 0.000, 0.000], [0.500, 0.500, 0.500], [0.000, 0.500, 0.500], [0.500, 0.000, 0.500], [0.500, 0.500, 0.000]],
  "density_g_cm3": 5.4,
  "delta_e_f_ev_per_fu": 6.0,
  "energy_ev_per_atom": -7.05
}


[16]
{
  "formula": "YCoC3",
  "functional": "GGA-PBE",
  "state": "relaxed",
  "lattice_angstrom": [[4.375, 0.000, 0.000], [0.000, 4.375, 0.000], [0.000, 0.000, 4.375]],
  "species": ["Y", "Co", "C", "C", "C"],
  "fractional_positions": [[0.000, 0.000, 0.000], [0.500, 0.500, 0.500], [0.000, 0.000, 0.500], [0.000, 0.500, 0.000], [0.500, 0.000, 0.000]],
  "density_g_cm3": 3.6,
  "delta_e_f_ev_per_fu": 16.1,
  "energy_ev_per_atom": -5.02
}


[17]
{
  "formula": "YCo3C",
  "functional": "GGA-PBE",
  "state": "relaxed",
  "lattice_angstrom": [[5.514, 0.000, 0.000], [-2.757, 4.775, 0.000], [0.000, 0.000, 4.808]],
  "species": ["Y", "Y", "Co", "Co", "Co", "Co", "Co", "Co", "C", "C"],
  "fractional_positions": [[0.333, 0.667, 0.250], [0.667, 0.333, 0.750], [0.156, 0.311, 0.750], [0.156, 0.844, 0.750], [0.311, 0.156, 0.250], [0.689, 0.844, 0.750], [0.844, 0.156, 0.250], [0.844, 0.689, 0.250], [0.000, 0.000, 0.000], [0.000, 0.000, 0.500]],
  "density_g_cm3": 7.3,
  "delta_e_f_ev_per_fu": -0.1,
  "energy_ev_per_atom": -7.43
}


[18]
{
  "formula": "Y2CoC4",
  "functional": "GGA-PBE",
  "state": "relaxed",
  "lattice_angstrom": [[-3.725, 4.843, 2.534], [3.725, -4.843, 2.534], [3.725, 4.843, -2.534]],
  "species": ["Y", "Y", "Y", "Y", "Co", "Co", "C", "C", "C", "C", "C", "C", "C", "C"],
  "fractional_positions": [[0.145, 0.160, 0.305], [0.355, 0.660, 0.015], [0.645, 0.340, 0.985], [0.855, 0.840, 0.695], [0.250, 0.750, 0.500], [0.750, 0.250, 0.500], [0.078, 0.668, 0.746], [0.127, 0.839, 0.966], [0.373, 0.339, 0.712], [0.422, 0.168, 0.590], [0.578, 0.832, 0.410], [0.627, 0.661, 0.288], [0.873, 0.161, 0.034], [0.922, 0.332, 0.254]],
  "density_g_cm3": 5.2,
  "delta_e_f_ev_per_fu": -1.9,
  "energy_ev_per_atom": -8.40
}


[19]
{
  "formula": "Y3CoC",
  "functional": "GGA-PBE",
  "state": "relaxed",
  "lattice_angstrom": [[4.821, 0.000, 0.000], [0.000, 4.821, 0.000], [0.000, 0.000, 4.821]],
  "species": ["Y", "Y", "Y", "Co", "C"],
  "fractional_positions": [[0.000, 0.000, 0.500], [0.000, 0.500, 0.000], [0.500, 0.000, 0.000], [0.500, 0.500, 0.500], [0.000, 0.000, 0.000]],
  "density_g_cm3": 5.0,
  "delta_e_f_ev_per_fu": 0.4,
  "energy_ev_per_atom": -7.06
}


[20]
{
  "formula": "YCo5C2",
  "functional": "GGA-PBE",
  "state": "relaxed",
  "lattice_angstrom": [[-1.757, 3.000, 4.035], [1.757, -3.000, 4.035], [1.757, 3.000, -4.035]],
  "species": ["Y", "Co", "Co", "Co", "Co", "Co", "C", "C"],
  "fractional_positions": [[0.000, 0.000, 0.000], [0.145, 0.341, 0.804], [0.463, 0.659, 0.804], [0.500, 0.000, 0.500], [0.537, 0.341, 0.196], [0.855, 0.659, 0.196], [0.260, 0.760, 0.500], [0.740, 0.240, 0.500]],
  "density_g_cm3": 8.0,
  "delta_e_f_ev_per_fu": 0.1,
  "energy_ev_per_atom": -7.54
}


[21]
{
  "formula": "Y2Co17C2",
  "functional": "GGA-PBE",
  "state": "relaxed",
  "lattice_angstrom": [[4.717, -4.223, 0.000], [4.717, 4.223, 0.000], [-0.946, 0.000, 6.328]],
  "species": ["Y", "Y", "Co", "Co", "Co", "Co", "Co", "Co", "Co", "Co", "Co", "Co", "Co", "Co", "Co", "Co", "Co", "Co", "Co", "C", "C"],
  "fractional_positions": [[0.149, 0.149, 0.334], [0.851, 0.851, 0.666], [0.000, 0.500, 0.000], [0.152, 0.152, 0.866], [0.153, 0.643, 0.342], [0.215, 0.785, 0.000], [0.216, 0.502, 0.718], [0.357, 0.847, 0.658], [0.403, 0.403, 0.094], [0.498, 0.784, 0.282], [0.500, 0.000, 0.000], [0.500, 0.500, 0.500], [0.502, 0.216, 0.718], [0.597, 0.597, 0.906], [0.643, 0.153, 0.342], [0.784, 0.498, 0.282], [0.785, 0.215, 0.000], [0.847, 0.357, 0.658], [0.848, 0.848, 0.134], [0.000, 0.500, 0.500], [0.500, 0.000, 0.500]],
  "density_g_cm3": 7.9,
  "delta_e_f_ev_per_fu": -1.1,
  "energy_ev_per_atom": -7.30
}


[22]
{
  "formula": "Y2CoC2",
  "functional": "GGA-PBE",
  "state": "relaxed",
  "lattice_angstrom": [[6.486, 0.000, 0.000], [0.000, 6.486, 0.000], [0.000, 0.000, 3.425]],
  "species": ["Y", "Y", "Y", "Y", "Co", "Co", "C", "C", "C", "C"],
  "fractional_positions": [[0.196, 0.304, 0.000], [0.304, 0.804, 0.000], [0.696, 0.196, 0.000], [0.804, 0.696, 0.000], [0.000, 0.000, 0.500], [0.500, 0.500, 0.500], [0.078, 0.578, 0.500], [0.422, 0.078, 0.500], [0.578, 0.922, 0.500], [0.922, 0.422, 0.500]],
  "density_g_cm3": 6.0,
  "delta_e_f_ev_per_fu": -0.3,
  "energy_ev_per_atom": -7.76
}


[23]
{
  "formula": "Y2CoC2",
  "functional": "GGA-PBE",
  "state": "relaxed",
  "lattice_angstrom": [[-1.657, 1.657, 7.243], [1.657, -1.657, 7.243], [1.657, 1.657, -7.243]],
  "species": ["Y", "Y", "Co", "C", "C"],
  "fractional_positions": [[0.126, 0.126, 0.000], [0.874, 0.874, 0.000], [0.500, 0.500, 0.000], [0.250, 0.750, 0.500], [0.750, 0.250, 0.500]],
  "density_g_cm3": 5.4,
  "delta_e_f_ev_per_fu": 4.6,
  "energy_ev_per_atom": -6.78
}